Record 1
{"formula": "LuCuSnIr", "functional": "PBE", "state": "optimized geometry", "lattice": [[0.0000, 3.2940, 3.2940], [3.2940, 0.0000, 3.2940], [3.2940, 3.2940, 0.0000]], "species": ["Lu", "Cu", "Sn", "Ir"], "fractional_positions": [[0.0000, 0.0000, 0.0000], [0.7500, 0.7500, 0.7500], [0.5000, 0.5000, 0.5000], [0.2500, 0.2500, 0.2500]], "energy_ev_per_cell": -23.1, "m_tot_mub_per_atom": 0.000, "relative_energy_mev_per_atom": 0.0}

---

Record 2
{"formula": "TmLu4CuIr2", "functional": "PBE", "state": "optimized geometry", "lattice": [[4.7773, 0.0000, 0.0000], [0.0000, 4.7773, 0.0000], [0.0000, 0.0000, 7.3359]], "species": ["Tm", "Lu", "Lu", "Lu", "Lu", "Cu", "Ir", "Ir"], "fractional_positions": [[0.0000, 0.0000, 0.0000], [0.0000, 0.5000, 0.2740], [0.0000, 0.5000, 0.7260], [0.5000, 0.0000, 0.2740], [0.5000, 0.0000, 0.7260], [0.5000, 0.5000, 0.5000], [0.0000, 0.0000, 0.5000], [0.5000, 0.5000, 0.0000]], "energy_ev_per_cell": -47.9, "m_tot_mub_per_atom": 0.001, "delta_e_f_ev_per_atom": -0.4860}

---

Record 3
{"formula": "Nd2Mg4CuIr", "functional": "PBE", "state": "optimized geometry", "lattice": [[8.2259, 0.0000, 0.0000], [0.0000, 2.1205, 5.1534], [0.0000, -2.1205, 5.1534]], "species": ["Nd", "Nd", "Mg", "Mg", "Mg", "Mg", "Cu", "Ir"], "fractional_positions": [[0.0000, 0.0000, 0.0000], [0.5000, 0.1241, 0.1241], [0.1972, 0.7105, 0.7105], [0.3063, 0.4062, 0.4062], [0.6937, 0.4062, 0.4062], [0.8028, 0.7105, 0.7105], [0.0000, 0.2890, 0.2890], [0.5000, 0.8312, 0.8312]], "energy_ev_per_cell": -30.8, "m_tot_mub_per_atom": 0.000}

---

Record 4
{"formula": "Y3Mg3CuIrPt", "functional": "PBE", "state": "optimized geometry", "lattice": [[7.4277, 0.0000, 0.0000], [-3.7139, 6.4326, 0.0000], [0.0000, 0.0000, 3.9800]], "species": ["Y", "Y", "Y", "Mg", "Mg", "Mg", "Cu", "Ir", "Pt"], "fractional_positions": [[0.0081, 0.5893, 0.0000], [0.4107, 0.4188, 0.0000], [0.5812, 0.9919, 0.0000], [0.0015, 0.2474, 0.5000], [0.2459, 0.9985, 0.5000], [0.7526, 0.7541, 0.5000], [0.0000, 0.0000, 0.0000], [0.3333, 0.6667, 0.5000], [0.6667, 0.3333, 0.5000]], "energy_ev_per_cell": -48.3, "m_tot_mub_per_atom": 0.001}

---

Record 5
{"formula": "MgCuSbIr", "functional": "PBE", "state": "optimized geometry", "lattice": [[0.0000, 3.2106, 3.2106], [3.2106, 0.0000, 3.2106], [3.2106, 3.2106, 0.0000]], "species": ["Mg", "Cu", "Sb", "Ir"], "fractional_positions": [[0.0000, 0.0000, 0.0000], [0.7500, 0.7500, 0.7500], [0.5000, 0.5000, 0.5000], [0.2500, 0.2500, 0.2500]], "energy_ev_per_cell": -18.7, "m_tot_mub_per_atom": 0.001, "relative_energy_mev_per_atom": 0.0}

---

Record 6
{"formula": "MgCuSnIr", "functional": "PBE", "state": "optimized geometry", "lattice": [[0.0000, 3.1994, 3.1994], [3.1994, 0.0000, 3.1994], [3.1994, 3.1994, 0.0000]], "species": ["Mg", "Cu", "Sn", "Ir"], "fractional_positions": [[0.0000, 0.0000, 0.0000], [0.7500, 0.7500, 0.7500], [0.5000, 0.5000, 0.5000], [0.2500, 0.2500, 0.2500]], "energy_ev_per_cell": -18.9, "m_tot_mub_per_atom": 0.000, "relative_energy_mev_per_atom": 0.0}

---

Repeat the fourth record exactly.
{"formula": "Y3Mg3CuIrPt", "functional": "PBE", "state": "optimized geometry", "lattice": [[7.4277, 0.0000, 0.0000], [-3.7139, 6.4326, 0.0000], [0.0000, 0.0000, 3.9800]], "species": ["Y", "Y", "Y", "Mg", "Mg", "Mg", "Cu", "Ir", "Pt"], "fractional_positions": [[0.0081, 0.5893, 0.0000], [0.4107, 0.4188, 0.0000], [0.5812, 0.9919, 0.0000], [0.0015, 0.2474, 0.5000], [0.2459, 0.9985, 0.5000], [0.7526, 0.7541, 0.5000], [0.0000, 0.0000, 0.0000], [0.3333, 0.6667, 0.5000], [0.6667, 0.3333, 0.5000]], "energy_ev_per_cell": -48.3, "m_tot_mub_per_atom": 0.001}